1.
LiSc3: optimized geometry, GGA-PBE.

It has space group P2/m (No. 10), with a = 3.2035 Å, b = 4.8449 Å, c = 6.1646 Å, α = 90.00°, β = 104.08° and γ = 90.00°. The asymmetric unit holds Li at (0.0000, 0.0000, 0.0000), Sc at (0.0000, 0.0000, 0.5000) and Sc at (0.4149, 0.5000, 0.2434).

As for the relative energy among the computed polymorphs: 0.0698 eV/atom.

2.
LiSc2: optimized geometry, GGA-PBE.

It has space group P3m1 (No. 156), with a = 5.0257 Å, b = 5.0257 Å, c = 3.1071 Å, α = 90.00°, β = 90.00° and γ = 120.00°. The asymmetric unit holds Li at (0.0000, 0.0000, 0.0000), Sc at (0.3333, 0.6667, 0.7220) and Sc at (0.6667, 0.3333, 0.2838).

As for the relative energy among the computed polymorphs: 0.1142 eV/atom.

3.
Li3Sc4: optimized geometry, GGA-PBE.

It has space group I4/mmm (No. 139), with a = 3.3756 Å, b = 3.3756 Å, c = 26.9553 Å, α = 90.00°, β = 90.00° and γ = 90.00°. The asymmetric unit holds Li at (0.0000, 0.0000, 0.0000), Li at (0.0000, 0.0000, 0.2771), Sc at (0.0000, 0.0000, 0.1491) and Sc at (0.0000, 0.0000, 0.4291).

Its total DFT energy (no corrections) is -4.33 eV per atom.

4.
Li2Sc: optimized geometry, GGA-PBE.

It has space group Fd-3m (No. 227, origin choice 2), with a = 7.8779 Å, b = 7.8779 Å, c = 7.8779 Å, α = 90.00°, β = 90.00° and γ = 90.00°. The asymmetric unit holds Li at (0.0000, 0.0000, 0.0000) and Sc at (0.1250, 0.1250, 0.6250).

As for the relative energy among the computed polymorphs: 0.0377 eV/atom.

5.
LiSc5: optimized geometry, GGA-PBE.

It has space group Amm2 (No. 38), with a = 5.1509 Å, b = 3.2883 Å, c = 16.8762 Å, α = 90.00°, β = 90.00° and γ = 90.00°. The asymmetric unit holds Li at (0.0000, 0.0000, 0.0000), Sc at (0.0000, 0.0000, 0.3341), Sc at (0.0000, 0.0000, 0.6690), Sc at (0.5000, 0.0000, 0.2225), Sc at (0.5000, 0.0000, 0.5532) and Sc at (0.5000, 0.0000, 0.8882).

As for the relative energy among the computed polymorphs: 0.0200 eV/atom.

6.
LiSc2: optimized geometry, GGA-PBE.

It has space group P6_3/mmc (No. 194), with a = 4.9618 Å, b = 4.9618 Å, c = 6.2793 Å, α = 90.00°, β = 90.00° and γ = 120.00°. The asymmetric unit holds Li at (0.3333, 0.6667, 0.2500), Sc at (0.0000, 0.0000, 0.0000) and Sc at (0.3333, 0.6667, 0.7500).

As for the relative energy among the computed polymorphs: 0.1141 eV/atom.

7.
Li4Sc3: optimized geometry, GGA-PBE.

It has space group P6/mmm (No. 191), with a = 5.9821 Å, b = 5.9821 Å, c = 5.3790 Å, α = 90.00°, β = 90.00° and γ = 120.00°. The asymmetric unit holds Li at (0.0000, 0.0000, 0.2406), Li at (0.3333, 0.6667, 0.0000) and Sc at (0.0000, 0.5000, 0.5000).

As for the relative energy among the computed polymorphs: 0.1821 eV/atom.

8.
Li2Sc: optimized geometry, GGA-PBE.

It has space group P-3m1 (No. 164), with a = 3.1370 Å, b = 3.1370 Å, c = 7.7323 Å, α = 90.00°, β = 90.00° and γ = 120.00°. The asymmetric unit holds Li at (0.3333, 0.6667, 0.3377) and Sc at (0.0000, 0.0000, 0.0000).

As for the relative energy among the computed polymorphs: 0.0059 eV/atom.

9.
Li4Sc3: optimized geometry, GGA-PBE.

It has space group I4/mmm (No. 139), with a = 3.4280 Å, b = 3.4280 Å, c = 25.0722 Å, α = 90.00°, β = 90.00° and γ = 90.00°. The asymmetric unit holds Li at (0.0000, 0.0000, 0.0753), Li at (0.0000, 0.0000, 0.3686), Sc at (0.0000, 0.0000, 0.2097) and Sc at (0.0000, 0.0000, 0.5000).

As for the relative energy among the computed polymorphs: 0.0000 eV/atom.

10.
Li2Sc: optimized geometry, GGA-PBE.

It has space group Cm (No. 8), with a = 11.7624 Å, b = 3.0807 Å, c = 7.4137 Å, α = 90.00°, β = 105.53° and γ = 90.00°. The asymmetric unit holds Li at (0.0000, 0.0000, 0.0000), Li at (0.0631, 0.0000, 0.5955), Li at (0.2060, 0.5000, 0.9200), Li at (0.3978, 0.0000, 0.2587), Sc at (0.1816, 0.5000, 0.3250) and Sc at (0.3423, 0.0000, 0.6647).

As for the relative energy among the computed polymorphs: 0.0527 eV/atom.

11.
LiSc7: optimized geometry, GGA-PBE.

It has space group Fm-3m (No. 225), with a = 9.1419 Å, b = 9.1419 Å, c = 9.1419 Å, α = 90.00°, β = 90.00° and γ = 90.00°. The asymmetric unit holds Li at (0.0000, 0.0000, 0.0000), Sc at (0.0000, 0.0000, 0.5000) and Sc at (0.0000, 0.2500, 0.2500).

Its total DFT energy (no corrections) is -5.66 eV per atom.

12.
LiSc3: optimized geometry, GGA-PBE.

It has space group P6_3/mmc (No. 194), with a = 6.4263 Å, b = 6.4263 Å, c = 5.2010 Å, α = 90.00°, β = 90.00° and γ = 120.00°. The asymmetric unit holds Li at (0.3333, 0.6667, 0.2500) and Sc at (0.1676, 0.3352, 0.7500).

As for the relative energy among the computed polymorphs: 0.0882 eV/atom.

13.
Li7Sc: optimized geometry, GGA-PBE.

It has space group Fm-3m (No. 225), with a = 8.7419 Å, b = 8.7419 Å, c = 8.7419 Å, α = 90.00°, β = 90.00° and γ = 90.00°. The asymmetric unit holds Li at (0.0000, 0.0000, 0.0000), Li at (0.0000, 0.2500, 0.2500) and Sc at (0.0000, 0.0000, 0.5000).

Its total DFT energy (no corrections) is -2.32 eV per atom.

14.
LiSc3: optimized geometry, GGA-PBE.

It has space group P-6m2 (No. 187), with a = 3.2726 Å, b = 3.2726 Å, c = 10.2542 Å, α = 90.00°, β = 90.00° and γ = 120.00°. The asymmetric unit holds Li at (0.0000, 0.0000, 0.0000), Sc at (0.0000, 0.0000, 0.5000) and Sc at (0.6667, 0.3333, 0.2506).

As for the relative energy among the computed polymorphs: 0.0000 eV/atom.

15.
LiSc4: optimized geometry, GGA-PBE.

It has space group Im-3m (No. 229), with a = 6.3586 Å, b = 6.3586 Å, c = 6.3586 Å, α = 90.00°, β = 90.00° and γ = 90.00°. The asymmetric unit holds Li at (0.0000, 0.0000, 0.0000) and Sc at (0.2500, 0.2500, 0.2500).

As for the relative energy among the computed polymorphs: 0.1874 eV/atom.